## Ti3CoSb (PBE)

Data for crystalline Ti3CoSb at its relaxed geometry.

Uncorrected formation energy, eV per atom: -0.213
E, eV per atom: -7.1959

Cell lengths 5.0660, 6.2905, 6.2905 Å; angles 120.00, 90.00, 90.00 degrees
Last column: nearest neighbours and their distance in Å.
Positions (direct):
1 Ti 0.2500 0.8204 0.1796  2 Co 2.33
2 Ti 0.7500 0.1796 0.8204  2 Co 2.33
3 Ti 0.2500 0.8203 0.6409  2 Co 2.33
4 Ti 0.7500 0.1797 0.3591  2 Co 2.33
5 Ti 0.2500 0.3591 0.1797  2 Co 2.33
6 Ti 0.7500 0.6409 0.8203  2 Co 2.33
7 Co 0.0000 0.0000 0.0000  6 Ti 2.33, 2 Co 2.53
8 Co 0.5000 0.0000 0.0000  6 Ti 2.33, 2 Co 2.53
9 Sb 0.2500 0.3333 0.6667  12 Ti 3.04-3.15
10 Sb 0.7500 0.6667 0.3333  12 Ti 3.04-3.15